Entry from the Alexandria database: a geometry-optimized PrTmMgTi structure (PBE).

```
PrTmMgTi
1.0
0.000 3.747 3.747
3.747 0.000 3.747
3.747 3.747 0.000
Pr Tm Mg Ti
1 1 1 1
direct
0.000 0.000 0.000
0.500 0.500 0.500
0.250 0.250 0.250
0.750 0.750 0.750
```

## Properties
Formation energy in eV/f.u.: 0.6



Entry from the Alexandria database: a geometry-optimized KMnNi structure (PBE).

```
KMnNi
1.0
0.000 3.324 3.324
3.324 0.000 3.324
3.324 3.324 0.000
K Mn Ni
1 1 1
direct
0.000 0.000 0.000
0.500 0.500 0.500
0.750 0.750 0.750
```

## Properties
Formation energy in eV/f.u.: 3.3
Energy relative to the lowest polymorph listed for this composition in meV/atom: 747



Entry from the Alexandria database: a geometry-optimized AcLuZnPt structure (PBE).

```
AcLuZnPt
1.0
0.000 3.665 3.665
3.665 0.000 3.665
3.665 3.665 0.000
Ac Lu Zn Pt
1 1 1 1
direct
0.000 0.000 0.000
0.500 0.500 0.500
0.250 0.250 0.250
0.750 0.750 0.750
```

## Properties
Formation energy in eV/f.u.: -2.5



Spin magnetization? In order: 0.481; 1.642; 0.000 μB/atom.